# LaNdBrN PBE optimized geometry
# * formation energy from raw total energies: -1417 meV per atom
# * VASP energy: -6.340 eV/atom
# * Fermi-level density of states: 0.248 states/eV/atom
data_LaNdBrN
_symmetry_space_group_name_H-M 'C 1 m 1'
_symmetry_Int_Tables_number 8
_cell_length_a 6.478
_cell_length_b 3.756
_cell_length_c 7.845
_cell_angle_alpha 90.00
_cell_angle_beta 106.00
_cell_angle_gamma 90.00
loop_
_symmetry_equiv_pos_as_xyz
'x,y,z'
'x,-y,z'
'x+1/2,y+1/2,z'
'x+1/2,-y+1/2,z'
loop_
_atom_site_label
_atom_site_fract_x
_atom_site_fract_y
_atom_site_fract_z
_atom_site_occupancy
La1 0.000 0.000 0.000 1
Nd1 0.213 0.000 0.640 1
Br1 0.277 0.500 0.332 1
N1 0.104 0.500 0.812 1